Here is an optimized crystal structure of Na2LaWO6 from Alexandria. Energies are from PBE+U.

Results
- Calculated total energy: -132.62 eV for the cell shown
- Space group: P2_1/c
- V: 287.2 Å³ per cell

CIF file:
```
data_Na2LaWO6
_space_group_name_H-M_alt 'P 1'
_space_group_IT_number 1
_space_group_name_Hall 'P 1'
_cell_length_a 5.780
_cell_length_b 5.980
_cell_length_c 8.308
_cell_angle_alpha 90.00
_cell_angle_beta 89.79
_cell_angle_gamma 90.00
loop_
_atom_site_label
_atom_site_fract_x
_atom_site_fract_y
_atom_site_fract_z
O1 0.720 0.329 0.957
O2 0.163 0.228 0.065
O3 0.602 0.052 0.278
O4 0.898 0.552 0.222
O5 0.837 0.772 0.935
O6 0.220 0.171 0.457
O7 0.398 0.948 0.722
O8 0.102 0.448 0.778
O9 0.337 0.728 0.435
O10 0.780 0.829 0.543
O11 0.280 0.671 0.043
O12 0.663 0.272 0.565
W1 0.000 0.500 0.000
W2 0.500 0.000 0.500
Na1 0.995 0.039 0.740
Na2 0.495 0.461 0.240
Na3 0.005 0.961 0.260
Na4 0.505 0.539 0.760
La1 0.500 0.000 0.000
La2 0.000 0.500 0.500
```